Record 1
Compound: CoIBr
Source: Alexandria
Functional: PBE
Structure: relaxed

Results
The size of the total moment is 3.01 μB per formula unit. The calculation puts the density of states at the Fermi level at 7.5 states/eV per cell. The value obtained for the distance to the lowest polymorph of the same formula is 0.051 eV per atom. As for the raw formation energy: -0.063 eV per atom.

abc: 7.0525 7.3885 7.5579
angles: 118.38 117.04 91.32
Last column: nearest neighbours and their distance in Å.
Space group P1 (No. 1)
Symmetry-distinct sites (fractional):
Co: 0.0000 0.0000 0.0000  1 Co 2.31, 2 Br 2.39-2.44
Co: 0.3274 0.0004 0.0001  1 Co 2.31, 2 Br 2.38-2.44
I: 0.3437 0.3412 0.3534  2 Co 2.61
I: 0.9920 0.9933 0.6486  2 Co 2.61
Br: 0.1571 0.7089 0.0007  2 Co 2.44
Br: 0.6617 0.9648 0.9979  2 Co 2.38-2.39



Record 2
Compound: Co2IBr8
Source: Alexandria
Functional: PBE
Structure: relaxed

Results
The size of the total moment is 7.00 μB per formula unit. The calculation puts the density of states at the Fermi level at 15.7 states/eV per cell. As for the raw formation energy: -0.149 eV per atom.

abc: 13.6185 8.3997 7.9774
angles: 90.00 98.58 90.00
Last column: nearest neighbours and their distance in Å.
Space group C2/m (No. 12)
Symmetry-distinct sites (fractional):
Co: 0.2281 0.0000 0.3328  4 Br 2.26-2.45
I: 0.0000 0.0000 0.0000  4 Br 2.79
Br: 0.1169 0.5000 0.7376  1 Co 2.26
Br: 0.1274 0.2154 0.1889  1 Co 2.45
Br: 0.2152 0.0000 0.6165  1 Co 2.30



Record 3
Compound: CoI3Br
Source: Alexandria
Functional: PBE
Structure: relaxed

Results
The size of the total moment is 1.00 μB per formula unit. The calculation puts the density of states at the Fermi level at 0.4 states/eV per cell. The value obtained for the distance to the lowest polymorph of the same formula is 0.000 eV per atom. As for the raw formation energy: 0.001 eV per atom.

abc: 4.0641 8.2028 10.9287
angles: 82.82 86.69 88.64
Last column: nearest neighbours and their distance in Å.
Space group P-1 (No. 2)
Symmetry-distinct sites (fractional):
Co: 0.2101 0.4589 0.1529  4 I 2.54-2.61
I: 0.1365 0.2417 0.3385  1 Co 2.54, 1 Br 2.77
I: 0.2243 0.6831 0.9637  3 Co 2.59-2.86
I: 0.3632 0.3904 0.7370  2 Co 2.59-2.88, 1 Br 2.90
Br: 0.3813 0.9373 0.2885  2 I 2.77-2.90



Record 4
Compound: CoIBr3
Source: Alexandria
Functional: PBE
Structure: relaxed

Results
The size of the total moment is 3.16 μB per formula unit. The calculation puts the density of states at the Fermi level at 55.8 states/eV per cell. The value obtained for the distance to the lowest polymorph of the same formula is 1.001 eV per atom. As for the raw formation energy: 0.878 eV per atom.

abc: 5.7892 5.7892 5.7892
angles: 90.00 90.00 90.00
Last column: nearest neighbours and their distance in Å.
Space group Pm-3m (No. 221)
Symmetry-distinct sites (fractional):
Co: 0.0000 0.0000 0.0000  12 Br 4.09
I: 0.5000 0.5000 0.5000  6 Br 2.89
Br: 0.0000 0.5000 0.5000  2 I 2.89



Record 5
Compound: CoI3Br
Source: Alexandria
Functional: PBE
Structure: relaxed

Results
The size of the total moment is 2.50 μB per formula unit. The calculation puts the density of states at the Fermi level at 12.5 states/eV per cell. The value obtained for the distance to the lowest polymorph of the same formula is 1.015 eV per atom. As for the raw formation energy: 1.016 eV per atom.

abc: 5.9201 5.9201 5.9201
angles: 90.00 90.00 90.00
Last column: nearest neighbours and their distance in Å.
Space group Pm-3m (No. 221)
Symmetry-distinct sites (fractional):
Co: 0.0000 0.0000 0.0000  12 I 4.19
I: 0.0000 0.5000 0.5000  2 Br 2.96
Br: 0.5000 0.5000 0.5000  6 I 2.96



Record 6
Compound: KCoIBr2
Source: Alexandria
Functional: PBE
Structure: relaxed

Results
The size of the total moment is 2.41 μB per formula unit. The calculation puts the density of states at the Fermi level at 8.7 states/eV per cell. As for the raw formation energy: -0.630 eV per atom.

abc: 5.1727 5.1727 5.5880
angles: 90.00 90.00 90.00
Last column: nearest neighbours and their distance in Å.
Space group P4/mmm (No. 123)
Symmetry-distinct sites (fractional):
K: 0.0000 0.0000 0.0000  4 I 3.66, 8 Br 3.81
Co: 0.5000 0.5000 0.5000  4 Br 2.59, 2 I 2.79
I: 0.5000 0.5000 0.0000  2 Co 2.79
Br: 0.0000 0.5000 0.5000  2 Co 2.59



Record 7
Compound: K2CoI2Br2
Source: Alexandria
Functional: PBE
Structure: relaxed

Results
The size of the total moment is 2.94 μB per formula unit. The calculation puts the density of states at the Fermi level at 1.9 states/eV per cell. As for the raw formation energy: -0.900 eV per atom.

abc: 4.4027 7.6061 8.4438
angles: 116.72 105.04 90.15
Last column: nearest neighbours and their distance in Å.
Space group P-1 (No. 2)
Symmetry-distinct sites (fractional):
K: 0.1605 0.1602 0.3212  2 Br 3.23
Co: 0.0000 0.5000 0.0000  2 Br 2.54
I: 0.4986 0.2552 0.0006  2 Co 2.88-2.89
Br: 0.1758 0.6766 0.3515  1 Co 2.54



Record 8
Compound: La4CoIBr2
Source: Alexandria
Functional: PBE
Structure: relaxed

Results
The size of the total moment is 0.00 μB per formula unit. The calculation puts the density of states at the Fermi level at 7.4 states/eV per cell. As for the raw formation energy: -0.950 eV per atom.

abc: 7.7217 4.1099 8.1855
angles: 90.00 106.99 90.00
Last column: nearest neighbours and their distance in Å.
Space group P2/m (No. 10)
Symmetry-distinct sites (fractional):
La: 0.2004 0.0000 0.1923  2 Co 2.77
La: 0.2433 0.5000 0.7857  1 Co 2.92, 2 Br 3.03, 2 I 3.26
Co: 0.0000 0.5000 0.0000  6 La 2.77-2.92
I: 0.0000 0.0000 0.5000  6 La 3.26-3.32
Br: 0.5000 0.0000 0.0000  6 La 3.03-3.16
Br: 0.5000 0.5000 0.5000  6 La 3.48-3.54



Record 9
Compound: LiCo2IBr
Source: Alexandria
Functional: PBE
Structure: relaxed

Results
The size of the total moment is 3.00 μB per formula unit. The calculation puts the density of states at the Fermi level at 6.5 states/eV per cell. As for the raw formation energy: 0.460 eV per atom.

abc: 4.5091 4.5091 5.3349
angles: 90.00 90.00 90.00
Last column: nearest neighbours and their distance in Å.
Space group P4/mmm (No. 123)
Symmetry-distinct sites (fractional):
Li: 0.0000 0.0000 0.0000  2 Br 2.67
Co: 0.0000 0.5000 0.5000  2 Br 2.25
I: 0.5000 0.5000 0.0000  4 Li 3.19, 8 Co 3.49
Br: 0.0000 0.0000 0.5000  4 Co 2.25



Record 10
Compound: CoMoIBr2
Source: Alexandria
Functional: PBE
Structure: relaxed

Results
The size of the total moment is 6.87 μB per formula unit. The calculation puts the density of states at the Fermi level at 8.4 states/eV per cell. As for the raw formation energy: 0.724 eV per atom.

abc: 4.8317 4.8317 5.9387
angles: 90.00 90.00 90.00
Last column: nearest neighbours and their distance in Å.
Space group P4/mmm (No. 123)
Symmetry-distinct sites (fractional):
Co: 0.0000 0.0000 0.0000  4 Br 2.42
Mo: 0.5000 0.5000 0.5000  4 I 3.42
I: 0.0000 0.0000 0.5000  2 Co 2.97
Br: 0.0000 0.5000 0.0000  2 Co 2.42



Record 11
Compound: CoI2BrN
Source: Alexandria
Functional: PBE
Structure: relaxed

Results
The size of the total moment is 2.39 μB per formula unit. The calculation puts the density of states at the Fermi level at 8.4 states/eV per cell. The value obtained for the distance to the lowest polymorph of the same formula is 1.123 eV per atom. As for the raw formation energy: 1.674 eV per atom.

abc: 6.2637 6.2637 3.7136
angles: 90.00 90.00 90.00
Last column: nearest neighbours and their distance in Å.
Space group P4/mmm (No. 123)
Symmetry-distinct sites (fractional):
Co: 0.0000 0.0000 0.0000  8 I 3.64, 2 Co 3.71
I: 0.0000 0.5000 0.5000  2 Br 3.13
Br: 0.5000 0.5000 0.5000  2 N 1.86
N: 0.5000 0.5000 0.0000  2 Br 1.86



Record 12
Compound: CoI2BrN
Source: Alexandria
Functional: PBE
Structure: relaxed

Results
The size of the total moment is 0.00 μB per formula unit. The calculation puts the density of states at the Fermi level at 4.9 states/eV per cell. The value obtained for the distance to the lowest polymorph of the same formula is 0.000 eV per atom. As for the raw formation energy: 0.551 eV per atom.

abc: 5.7048 5.7048 3.4381
angles: 90.00 90.00 90.00
Last column: nearest neighbours and their distance in Å.
Space group P4/mmm (No. 123)
Symmetry-distinct sites (fractional):
Co: 0.0000 0.0000 0.0000  2 N 1.72
I: 0.0000 0.5000 0.0000  2 Co 2.85
Br: 0.5000 0.5000 0.5000  8 I 3.33, 2 Br 3.44
N: 0.0000 0.0000 0.5000  2 Co 1.72